Record 1
The following is a PBE calculation of crystalline CoRe3 at its relaxed geometry, from the Open Quantum Materials Database.

```
4
Lattice="3.798 0.000 0.000 0.000 3.798 0.000 0.000 0.000 3.798" Properties=species:S:1:pos:R:3 pbc="T T T"
Re 0.000 1.899 1.899
Re 1.899 0.000 1.899
Co 0.000 0.000 0.000
Re 1.899 1.899 0.000
```

- final energy (eV per atom) = -11.073

Record 2
The following is a PBE calculation of crystalline LuBeNO at its relaxed geometry, from the Open Quantum Materials Database.

```
8
Lattice="-1.698 -2.941 0.000 0.000 0.000 4.730 -4.795 2.769 0.000" Properties=species:S:1:pos:R:3 pbc="T T T"
O -5.165 1.021 3.980
Be -1.654 -1.006 4.728
Lu -1.417 0.818 2.210
Lu -3.379 1.951 4.575
O -1.329 -1.194 1.615
Be -4.840 0.833 2.363
N -3.321 1.917 2.109
N -1.475 0.851 4.474
```

- polymorph energy (0 for the lowest one) (meV per atom) = 58

Record 3
The following is a PBE calculation of crystalline Tb2SbS at its relaxed geometry, from the Open Quantum Materials Database.

```
4
Lattice="-2.915 2.914 -0.789 -2.882 -2.360 1.932 1.270 2.665 5.149" Properties=species:S:1:pos:R:3 pbc="T T T"
S 0.635 1.333 2.574
Tb 0.000 0.000 0.000
Tb -2.263 1.610 3.146
Sb -2.899 0.277 0.572
```

- final energy (eV per atom) = -5.854

Record 4
The following is a PBE calculation of crystalline ScCoBiIr at its relaxed geometry, from the Open Quantum Materials Database.

```
4
Lattice="0.000 3.277 3.277 3.277 0.000 3.277 3.277 3.277 0.000" Properties=species:S:1:pos:R:3 pbc="T T T"
Ir 1.638 1.638 1.638
Sc 3.277 3.277 3.277
Co 4.915 4.915 4.915
Bi 0.000 0.000 0.000
```

- polymorph energy (0 for the lowest one) (meV per atom) = 0

Record 5
The following is a PBE calculation of crystalline ZnInBr3 at its relaxed geometry, from the Open Quantum Materials Database.

```
10
Lattice="6.612 0.000 0.000 0.794 6.797 0.000 0.214 2.953 7.939" Properties=species:S:1:pos:R:3 pbc="T T T"
Zn 4.482 5.088 3.469
Br 6.881 5.816 3.657
Br 6.883 6.196 7.771
In 5.198 8.731 6.639
Br 1.058 2.674 5.996
In 1.111 2.040 2.687
Br 4.336 2.697 3.293
Br 3.567 6.249 1.581
Br 3.574 5.808 5.679
Zn 1.174 5.070 5.856
```

- final energy (eV per atom) = -2.598

Record 6
The following is a PBE calculation of crystalline SrIrOs at its relaxed geometry, from the Open Quantum Materials Database.

```
3
Lattice="2.149 1.512 3.700 1.305 4.339 0.252 -2.105 2.841 2.845" Properties=species:S:1:pos:R:3 pbc="T T T"
Os 0.000 0.000 0.000
Sr 1.012 6.520 5.097
Ir 0.337 2.173 1.699
```

- polymorph energy (0 for the lowest one) (meV per atom) = 0